# NaSnHg2Bi

NaSnHg2Bi after structural relaxation (PBE, Alexandria).

The structure in POSCAR format:
```
NaSnHg2Bi
1.0
2.953 -8.640 0.000
2.953 8.640 0.000
0.000 0.000 5.873
Na Sn Hg Bi
2 2 4 2
Direct
0.144 0.856 0.750
0.856 0.144 0.250
0.335 0.665 0.750
0.665 0.335 0.250
0.253 0.253 0.000
0.253 0.253 0.500
0.747 0.747 0.000
0.747 0.747 0.500
0.248 0.752 0.250
0.752 0.248 0.750
```

Output
Its energy of formation is -42 meV per atom. As for the total energy: -20.0 eV per cell. As for the symmetry: Cmcm (63).


# CsMnAg2Br8

CsMnAg2Br8 after structural relaxation (PBE, Alexandria).

The structure in POSCAR format:
```
CsMnAg2Br8
1.0
6.513 0.000 0.000
2.270 6.336 0.000
0.394 1.025 10.034
Cs Mn Ag Br
1 1 2 8
Direct
0.000 0.000 0.000
0.000 0.000 0.500
0.343 0.363 0.292
0.657 0.637 0.708
0.210 0.744 0.683
0.225 0.223 0.524
0.255 0.807 0.334
0.270 0.424 0.041
0.730 0.576 0.959
0.745 0.193 0.666
0.775 0.777 0.476
0.790 0.256 0.317
```

Output
As for the total energy: -36.3 eV per cell. As for the symmetry: P-1 (2). The formation energy without anion corrections comes out at -7.223 eV/f.u.


# PuThSi2

PuThSi2 after structural relaxation (PBE, Alexandria).

The structure in POSCAR format:
```
PuThSi2
1.0
4.644 0.000 0.000
0.000 4.644 0.000
0.000 0.000 4.068
Pu Th Si
1 1 2
Direct
0.000 0.000 0.000
0.500 0.500 0.000
0.000 0.500 0.500
0.500 0.000 0.500
```

Output
As for the total energy: -34.1 eV per cell. As for the symmetry: P4/mmm (123). The formation energy without anion corrections comes out at -1.479 eV/f.u.